Entry 1:
## BaTl2SiPb (PBE)

Data for a geometry-optimized BaTl2SiPb structure.

volume	33.99	A^3/atom
DFT total energy	-3.10	eV/atom
DOS(E_F)	0.602	states/eV/atom

Lattice parameters (Å, degrees): 5.521 5.575 5.521 90.00 90.00 90.00
Atoms (fractional coordinates):
Pb (0.000, 0.500, 0.000)
Tl (0.000, 0.000, 0.500)
Tl (0.500, 0.000, 0.000)
Si (0.000, 0.000, 0.000)
Ba (0.500, 0.500, 0.500)



Entry 2:
## BaY2SiPb (PBE)

Data for a geometry-optimized BaY2SiPb structure.

volume	42.24	A^3/atom
DFT total energy	-4.35	eV/atom
DOS(E_F)	0.219	states/eV/atom

Lattice parameters (Å, degrees): 5.760 6.366 5.760 90.00 90.00 90.00
Atoms (fractional coordinates):
Pb (0.000, 0.000, 0.000)
Y (0.000, 0.000, 0.500)
Y (0.500, 0.000, 0.000)
Si (0.500, 0.500, 0.500)
Ba (0.000, 0.500, 0.000)